# K2Mn2Pt

An optimized crystal structure of K2Mn2Pt (PBE, Alexandria).

Output
Fermi-level density of states, states/eV per cell: 9.452
Space-group type: No. 127
Excess energy over the best structure of this formula in the dataset, kJ/mol of atoms: 4.87
Magnetic moment, μB per formula unit: 3.5
Formation energy, meV per atom: 1194.6

a = 9.4905 Å, b = 9.4905 Å, c = 2.7494 Å
α = 90.00°, β = 90.00°, γ = 90.00°
With the nearest neighbours (Å) after each atom.
Fractional coordinates of all 10 atoms:
K1 0.2137 0.2863 0.0000  2 K 2.75
K2 0.2863 0.7863 0.0000  2 K 2.75
K3 0.7137 0.2137 0.0000  2 K 2.75
K4 0.7863 0.7137 0.0000  2 K 2.75
Mn1 0.0689 0.5689 0.5000  1 Mn 1.85
Mn2 0.4311 0.0689 0.5000  1 Mn 1.85
Mn3 0.5689 0.9311 0.5000  1 Mn 1.85
Mn4 0.9311 0.4311 0.5000  1 Mn 1.85
Pt1 0.0000 0.0000 0.5000  2 Pt 2.75
Pt2 0.5000 0.5000 0.5000  2 Pt 2.75